Entry 1:
The following is a DFT calculation (PBE) of an optimized crystal structure of ZnReAs.

Output
- V: 16.85 Å³/atom
- Crystal system: cubic
- DFT formation energy: 0.58 eV per atom
- Energy: -5.541 eV/atom
- ΔE to the lowest computed polymorph: 470.9 meV/atom

```
ZnReAs
1.0
5.8699 0.0000 0.0000
0.0000 5.8699 0.0000
0.0000 0.0000 5.8699
Zn Re As
4 4 4
Direct
0.0000 0.0000 0.0000 Zn
0.0000 0.5000 0.5000 Zn
0.5000 0.0000 0.5000 Zn
0.5000 0.5000 0.0000 Zn
0.0000 0.0000 0.5000 Re
0.0000 0.5000 0.0000 Re
0.5000 0.0000 0.0000 Re
0.5000 0.5000 0.5000 Re
0.2500 0.2500 0.2500 As
0.2500 0.7500 0.7500 As
0.7500 0.2500 0.7500 As
0.7500 0.7500 0.2500 As
```


Entry 2:
The following is a DFT calculation (PBE) of an optimized crystal structure of Ho3Ni5Ge12.

Output
- V: 20.98 Å³/atom
- Crystal system: cubic
- DFT formation energy: -0.01 eV per atom
- Energy: -4.916 eV/atom

```
Ho3Ni5Ge12
1.0
-7.4870 7.4870 7.4870
7.4870 -7.4870 7.4870
7.4870 7.4870 -7.4870
Ho Ni Ge
12 20 48
Direct
0.1250 0.2500 0.3750 Ho
0.1250 0.3750 0.7500 Ho
0.2500 0.3750 0.1250 Ho
0.2500 0.8750 0.6250 Ho
0.3750 0.1250 0.2500 Ho
0.3750 0.7500 0.1250 Ho
0.6250 0.2500 0.8750 Ho
0.6250 0.8750 0.7500 Ho
0.7500 0.1250 0.3750 Ho
0.7500 0.6250 0.8750 Ho
0.8750 0.6250 0.2500 Ho
0.8750 0.7500 0.6250 Ho
0.0000 0.0000 0.0000 Ni
0.0000 0.0000 0.5000 Ni
0.0000 0.5000 0.0000 Ni
0.0000 0.5000 0.5000 Ni
0.1250 0.7500 0.8750 Ni
0.1250 0.8750 0.2500 Ni
0.2500 0.1250 0.8750 Ni
0.2500 0.6250 0.3750 Ni
0.3750 0.2500 0.6250 Ni
0.3750 0.6250 0.7500 Ni
0.5000 0.0000 0.0000 Ni
0.5000 0.0000 0.5000 Ni
0.5000 0.5000 0.0000 Ni
0.5000 0.5000 0.5000 Ni
0.6250 0.3750 0.2500 Ni
0.6250 0.7500 0.3750 Ni
0.7500 0.3750 0.6250 Ni
0.7500 0.8750 0.1250 Ni
0.8750 0.1250 0.7500 Ni
0.8750 0.2500 0.1250 Ni
0.0088 0.1973 0.0767 Ge
0.0088 0.3115 0.9321 Ge
0.0679 0.5767 0.3794 Ge
0.0679 0.9912 0.6885 Ge
0.0767 0.0088 0.1973 Ge
0.0767 0.5679 0.8794 Ge
0.1206 0.6973 0.6885 Ge
0.1206 0.9233 0.4321 Ge
0.1885 0.1973 0.6206 Ge
0.1885 0.4912 0.5679 Ge
0.1973 0.0767 0.0088 Ge
0.1973 0.6206 0.1885 Ge
0.3027 0.3115 0.8794 Ge
0.3027 0.4912 0.4233 Ge
0.3115 0.8794 0.3027 Ge
0.3115 0.9321 0.0088 Ge
0.3794 0.0679 0.5767 Ge
0.3794 0.8115 0.8027 Ge
0.4233 0.3027 0.4912 Ge
0.4233 0.6206 0.9321 Ge
0.4321 0.1206 0.9233 Ge
0.4321 0.8115 0.5088 Ge
0.4912 0.4233 0.3027 Ge
0.4912 0.5679 0.1885 Ge
0.5088 0.4321 0.8115 Ge
0.5088 0.5767 0.6973 Ge
0.5679 0.1885 0.4912 Ge
0.5679 0.8794 0.0767 Ge
0.5767 0.3794 0.0679 Ge
0.5767 0.6973 0.5088 Ge
0.6206 0.1885 0.1973 Ge
0.6206 0.9321 0.4233 Ge
0.6885 0.0679 0.9912 Ge
0.6885 0.1206 0.6973 Ge
0.6973 0.5088 0.5767 Ge
0.6973 0.6885 0.1206 Ge
0.8027 0.3794 0.8115 Ge
0.8027 0.9233 0.9912 Ge
0.8115 0.5088 0.4321 Ge
0.8115 0.8027 0.3794 Ge
0.8794 0.0767 0.5679 Ge
0.8794 0.3027 0.3115 Ge
0.9233 0.4321 0.1206 Ge
0.9233 0.9912 0.8027 Ge
0.9321 0.0088 0.3115 Ge
0.9321 0.4233 0.6206 Ge
0.9912 0.6885 0.0679 Ge
0.9912 0.8027 0.9233 Ge
```


Entry 3:
The following is a DFT calculation (PBE) of an optimized crystal structure of Ho3MgHg2.

Output
- V: 25.69 Å³/atom
- Crystal system: orthorhombic
- DFT formation energy: -0.36 eV per atom
- Energy: -3.016 eV/atom
- ΔE to the lowest computed polymorph: 0.0 meV/atom

```
Ho3MgHg2
1.0
5.2009 0.0000 0.0000
0.0000 15.8934 0.0000
0.0000 0.0000 3.7292
Ho Mg Hg
6 2 4
Direct
0.0000 0.0000 0.0000 Ho
0.0000 0.3290 0.0000 Ho
0.0000 0.6710 0.0000 Ho
0.5000 0.1710 0.0000 Ho
0.5000 0.5000 0.0000 Ho
0.5000 0.8290 0.0000 Ho
0.0000 0.5000 0.5000 Mg
0.5000 0.0000 0.5000 Mg
0.0000 0.1550 0.5000 Hg
0.0000 0.8450 0.5000 Hg
0.5000 0.3450 0.5000 Hg
0.5000 0.6550 0.5000 Hg
```


Entry 4:
The following is a DFT calculation (PBE) of an optimized crystal structure of KUCrN4.

Output
- V: 16.55 Å³/atom
- Crystal system: monoclinic
- Uncorrected formation energy: -4.8 eV per formula unit
- Energy: -8.583 eV/atom

```
KUCrN4
1.0
5.7469 0.0000 0.0000
0.0000 5.5480 0.0000
-2.2369 0.0000 7.2660
K U Cr N
2 2 2 8
Direct
0.2015 0.2500 0.4303 K
0.7985 0.7500 0.5697 K
0.2745 0.2500 0.9501 U
0.7255 0.7500 0.0499 U
0.2640 0.7500 0.1597 Cr
0.7360 0.2500 0.8403 Cr
0.0513 0.7500 0.2840 N
0.0539 0.7500 0.9471 N
0.4697 0.5091 0.1708 N
0.4697 0.9909 0.1708 N
0.5303 0.0091 0.8292 N
0.5303 0.4909 0.8292 N
0.9461 0.2500 0.0529 N
0.9487 0.2500 0.7160 N
```


energy of number 4 (KUCrN4)?
-8.583 eV/atom


Look up the V of the fourth one.
16.55 Å³/atom